(1)
AlSbW2 | GGA-PBE | optimized geometry

Cell lengths 2.8672, 2.8672, 8.8942 Å; angles 90.00, 90.00, 107.13 degrees
Element x y z (fractional)
Sb: 0.5000 0.5000 0.7500
Al: 0.5000 0.5000 0.2500
W: 0.0000 0.0000 0.0166
W: 0.0000 0.0000 0.4834

Results
- Total DFT energy (no corrections): -7.833 eV/atom
- Distance to the lowest polymorph of the same formula: 458 meV/atom


(2)
Al2SbW | GGA-PBE | optimized geometry

Cell lengths 5.0774, 5.0774, 5.0311 Å; angles 82.81, 82.81, 33.70 degrees
Element x y z (fractional)
Sb: 0.4867 0.4867 0.5099
Al: 0.0111 0.0111 0.9937
Al: 0.2580 0.2580 0.2294
W: 0.7441 0.7441 0.7671

Results
- Total DFT energy (no corrections): -5.862 eV/atom


(3)
AlSbW2 | GGA-PBE | optimized geometry

Cell lengths 5.2457, 5.4307, 2.9473 Å; angles 80.23, 78.86, 118.03 degrees
Element x y z (fractional)
Sb: 0.5000 0.0000 0.5000
Al: 0.5000 0.5000 0.0000
W: 0.0000 0.0000 0.0000
W: 0.0000 0.5000 0.5000

Results
- Total DFT energy (no corrections): -7.881 eV/atom
- Distance to the lowest polymorph of the same formula: 410 meV/atom


- What is the total DFT energy (no corrections) in the first record?
  -7.833 eV/atom